No. 1
{"formula": "Y2MoAu", "functional": "GGA-PBE", "state": "relaxed", "polymorph_energy_ev_per_atom": 0.000, "sg": "P2/m, No. 10", "delta_e_f_mev_per_atom": -170, "lattice_angstrom": [[3.546, 0.000, 0.000], [0.000, 3.534, 0.000], [-0.010, 0.000, 7.185]], "species": ["Y", "Y", "Mo", "Au"], "frac_coords": [[0.000, 0.000, 0.240], [0.000, 0.000, 0.760], [0.500, 0.500, 0.000], [0.500, 0.500, 0.500]]}

No. 2
{"formula": "Y4MoAu", "functional": "GGA-PBE", "state": "relaxed", "sg": "F-43m, No. 216", "delta_e_f_mev_per_atom": 762, "lattice_angstrom": [[0.000, 4.252, 4.252], [4.252, 0.000, 4.252], [4.252, 4.252, 0.000]], "species": ["Y", "Y", "Y", "Y", "Mo", "Au"], "frac_coords": [[0.376, 0.376, 0.376], [0.376, 0.376, 0.873], [0.376, 0.873, 0.376], [0.873, 0.376, 0.376], [0.750, 0.750, 0.750], [0.000, 0.000, 0.000]]}

No. 3
{"formula": "YMo2Au", "functional": "GGA-PBE", "state": "relaxed", "polymorph_energy_ev_per_atom": 0.234, "sg": "R3m, No. 160", "delta_e_f_mev_per_atom": 238, "lattice_angstrom": [[3.295, 0.000, 0.000], [-1.648, 2.854, 0.000], [0.000, 0.000, 26.026]], "species": ["Y", "Y", "Y", "Mo", "Mo", "Mo", "Mo", "Mo", "Mo", "Au", "Au", "Au"], "frac_coords": [[0.000, 0.000, 0.000], [0.333, 0.667, 0.667], [0.667, 0.333, 0.333], [0.000, 0.000, 0.237], [0.000, 0.000, 0.508], [0.333, 0.667, 0.174], [0.333, 0.667, 0.904], [0.667, 0.333, 0.571], [0.667, 0.333, 0.841], [0.000, 0.000, 0.757], [0.333, 0.667, 0.424], [0.667, 0.333, 0.091]]}

No. 4
{"formula": "YMo2Au", "functional": "GGA-PBE", "state": "relaxed", "polymorph_energy_ev_per_atom": 0.482, "sg": "Pmmm, No. 47", "delta_e_f_mev_per_atom": 486, "lattice_angstrom": [[2.791, 0.000, 0.000], [0.000, 4.532, 0.000], [0.000, 0.000, 6.066]], "species": ["Y", "Mo", "Mo", "Au"], "frac_coords": [[0.000, 0.000, 0.000], [0.500, 0.500, 0.290], [0.500, 0.500, 0.710], [0.000, 0.000, 0.500]]}

No. 5
{"formula": "Y2MoAu", "functional": "GGA-PBE", "state": "relaxed", "polymorph_energy_ev_per_atom": 0.295, "sg": "P4mm, No. 99", "delta_e_f_mev_per_atom": 125, "lattice_angstrom": [[3.455, 0.000, 0.000], [0.000, 3.455, 0.000], [0.000, 0.000, 8.164]], "species": ["Y", "Y", "Mo", "Au"], "frac_coords": [[0.000, 0.000, 0.000], [0.500, 0.500, 0.369], [0.500, 0.500, 0.769], [0.000, 0.000, 0.602]]}

No. 6
{"formula": "YMo2Au", "functional": "GGA-PBE", "state": "relaxed", "polymorph_energy_ev_per_atom": 0.228, "sg": "C2/m, No. 12", "delta_e_f_mev_per_atom": 232, "lattice_angstrom": [[10.760, 0.000, 0.000], [0.000, 3.340, 0.000], [-1.634, 0.000, 4.520]], "species": ["Y", "Y", "Mo", "Mo", "Mo", "Mo", "Au", "Au"], "frac_coords": [[0.000, 0.000, 0.000], [0.500, 0.500, 0.000], [0.236, 0.000, 0.676], [0.264, 0.500, 0.324], [0.736, 0.500, 0.676], [0.764, 0.000, 0.324], [0.000, 0.500, 0.500], [0.500, 0.000, 0.500]]}

No. 7
{"formula": "Y2MoAu", "functional": "GGA-PBE", "state": "relaxed", "polymorph_energy_ev_per_atom": 0.398, "sg": "F-43m, No. 216", "delta_e_f_mev_per_atom": 228, "lattice_angstrom": [[7.026, 0.000, 0.000], [0.000, 7.026, 0.000], [0.000, 0.000, 7.026]], "species": ["Y", "Y", "Y", "Y", "Y", "Y", "Y", "Y", "Mo", "Mo", "Mo", "Mo", "Au", "Au", "Au", "Au"], "frac_coords": [[0.000, 0.000, 0.000], [0.000, 0.500, 0.500], [0.250, 0.250, 0.250], [0.250, 0.750, 0.750], [0.500, 0.000, 0.500], [0.500, 0.500, 0.000], [0.750, 0.250, 0.750], [0.750, 0.750, 0.250], [0.000, 0.000, 0.500], [0.000, 0.500, 0.000], [0.500, 0.000, 0.000], [0.500, 0.500, 0.500], [0.250, 0.250, 0.750], [0.250, 0.750, 0.250], [0.750, 0.250, 0.250], [0.750, 0.750, 0.750]]}

No. 8
{"formula": "YMo2Au", "functional": "GGA-PBE", "state": "relaxed", "polymorph_energy_ev_per_atom": 0.301, "sg": "I4/mmm, No. 139", "delta_e_f_mev_per_atom": 305, "lattice_angstrom": [[4.016, 0.000, 0.000], [0.000, 4.016, 0.000], [0.000, 0.000, 9.513]], "species": ["Y", "Y", "Mo", "Mo", "Mo", "Mo", "Au", "Au"], "frac_coords": [[0.000, 0.000, 0.000], [0.500, 0.500, 0.500], [0.000, 0.500, 0.250], [0.000, 0.500, 0.750], [0.500, 0.000, 0.250], [0.500, 0.000, 0.750], [0.000, 0.000, 0.500], [0.500, 0.500, 0.000]]}

No. 9
{"formula": "YMo2Au", "functional": "GGA-PBE", "state": "relaxed", "polymorph_energy_ev_per_atom": 0.190, "sg": "Cmm2, No. 35", "delta_e_f_mev_per_atom": 194, "lattice_angstrom": [[3.417, 0.000, 0.000], [0.000, 4.878, 0.000], [0.000, 0.000, 9.137]], "species": ["Y", "Y", "Mo", "Mo", "Mo", "Mo", "Au", "Au"], "frac_coords": [[0.000, 0.000, 0.000], [0.500, 0.500, 0.000], [0.000, 0.000, 0.520], [0.000, 0.500, 0.728], [0.500, 0.000, 0.728], [0.500, 0.500, 0.520], [0.000, 0.500, 0.271], [0.500, 0.000, 0.271]]}

No. 10
{"formula": "Y2MoAu", "functional": "GGA-PBE", "state": "relaxed", "polymorph_energy_ev_per_atom": 0.138, "sg": "Cm, No. 8", "delta_e_f_mev_per_atom": -32, "lattice_angstrom": [[11.067, 0.000, 0.000], [0.000, 3.285, 0.000], [-1.578, 0.000, 5.025]], "species": ["Y", "Y", "Y", "Y", "Mo", "Mo", "Au", "Au"], "frac_coords": [[0.000, 0.000, 0.000], [0.204, 0.000, 0.628], [0.500, 0.500, 0.000], [0.704, 0.500, 0.628], [0.451, 0.000, 0.479], [0.951, 0.500, 0.479], [0.252, 0.500, 0.153], [0.752, 0.000, 0.153]]}

No. 11
{"formula": "YMo2Au", "functional": "GGA-PBE", "state": "relaxed", "polymorph_energy_ev_per_atom": 0.693, "sg": "I-42d, No. 122", "delta_e_f_mev_per_atom": 697, "lattice_angstrom": [[7.997, 0.000, 0.000], [0.000, 7.997, 0.000], [0.000, 0.000, 5.271]], "species": ["Y", "Y", "Y", "Y", "Mo", "Mo", "Mo", "Mo", "Mo", "Mo", "Mo", "Mo", "Au", "Au", "Au", "Au"], "frac_coords": [[0.000, 0.000, 0.000], [0.000, 0.500, 0.250], [0.500, 0.000, 0.750], [0.500, 0.500, 0.500], [0.213, 0.750, 0.625], [0.250, 0.213, 0.375], [0.250, 0.287, 0.875], [0.287, 0.750, 0.125], [0.713, 0.250, 0.125], [0.750, 0.713, 0.875], [0.750, 0.787, 0.375], [0.787, 0.250, 0.625], [0.000, 0.000, 0.500], [0.000, 0.500, 0.750], [0.500, 0.000, 0.250], [0.500, 0.500, 0.000]]}

No. 12
{"formula": "Y2MoAu", "functional": "GGA-PBE", "state": "relaxed", "polymorph_energy_ev_per_atom": 0.156, "sg": "Imm2, No. 44", "delta_e_f_mev_per_atom": -14, "lattice_angstrom": [[3.443, 0.000, 0.000], [0.000, 4.927, 0.000], [0.000, 0.000, 10.814]], "species": ["Y", "Y", "Y", "Y", "Mo", "Mo", "Au", "Au"], "frac_coords": [[0.000, 0.000, 0.000], [0.000, 0.500, 0.214], [0.500, 0.000, 0.714], [0.500, 0.500, 0.500], [0.000, 0.000, 0.467], [0.500, 0.500, 0.967], [0.000, 0.500, 0.763], [0.500, 0.000, 0.263]]}

No. 13
{"formula": "YMo2Au", "functional": "GGA-PBE", "state": "relaxed", "polymorph_energy_ev_per_atom": 0.334, "sg": "C2/m, No. 12", "delta_e_f_mev_per_atom": 338, "lattice_angstrom": [[5.615, 0.000, 0.000], [0.000, 10.028, 0.000], [-1.129, 0.000, 2.667]], "species": ["Y", "Y", "Mo", "Mo", "Mo", "Mo", "Au", "Au"], "frac_coords": [[0.000, 0.000, 0.000], [0.500, 0.500, 0.000], [0.250, 0.250, 0.500], [0.250, 0.750, 0.500], [0.750, 0.250, 0.500], [0.750, 0.750, 0.500], [0.000, 0.500, 0.000], [0.500, 0.000, 0.000]]}

No. 14
{"formula": "Y2MoAu", "functional": "GGA-PBE", "state": "relaxed", "polymorph_energy_ev_per_atom": 0.731, "sg": "I-42d, No. 122", "delta_e_f_mev_per_atom": 561, "lattice_angstrom": [[4.444, 0.000, 0.000], [0.000, 4.444, 0.000], [0.000, 0.000, 19.487]], "species": ["Y", "Y", "Y", "Y", "Y", "Y", "Y", "Y", "Mo", "Mo", "Mo", "Mo", "Au", "Au", "Au", "Au"], "frac_coords": [[0.244, 0.250, 0.125], [0.250, 0.744, 0.375], [0.250, 0.756, 0.875], [0.256, 0.250, 0.625], [0.744, 0.750, 0.625], [0.750, 0.244, 0.875], [0.750, 0.256, 0.375], [0.756, 0.750, 0.125], [0.000, 0.000, 0.000], [0.000, 0.500, 0.250], [0.500, 0.000, 0.750], [0.500, 0.500, 0.500], [0.000, 0.000, 0.500], [0.000, 0.500, 0.750], [0.500, 0.000, 0.250], [0.500, 0.500, 0.000]]}

No. 15
{"formula": "Y3MoAu", "functional": "GGA-PBE", "state": "relaxed", "polymorph_energy_ev_per_atom": 0.000, "sg": "Pm-3m, No. 221", "delta_e_f_mev_per_atom": 376, "lattice_angstrom": [[5.290, 0.000, 0.000], [0.000, 5.290, 0.000], [0.000, 0.000, 5.290]], "species": ["Y", "Y", "Y", "Mo", "Au"], "frac_coords": [[0.000, 0.000, 0.500], [0.000, 0.500, 0.000], [0.500, 0.000, 0.000], [0.000, 0.000, 0.000], [0.500, 0.500, 0.500]]}

no.,N(E_F) (states/eV/atom)
1,1.28
2,1.04
3,1.18
4,1.17
5,0.99
6,1.14
7,1.16
8,1.41
9,0.67
10,1.04
11,0.88
12,1.47
13,1.14
14,1.18
15,1.09